# 1
! Ba2TiCd2 PBE-GGA optimized geometry; values from VASP
! * E above lowest polymorph: 3.22 kcal/mol of atoms
! * crystal system: tetragonal
! * spin magnetization: 2.45 μB/cell
&SYSTEM
  ibrav = 0, nat = 5, ntyp = 3
/
ATOMIC_SPECIES
Ti 47.87 Ti.upf
Ba 137.33 Ba.upf
Cd 112.41 Cd.upf
CELL_PARAMETERS angstrom
-0.6825 -6.7087 0.2888
5.7681 -0.7343 -3.4272
4.7409 -3.7853 2.1438
ATOMIC_POSITIONS angstrom
Ti 0.0000 0.0000 0.0000
Ba 3.3006 -7.1077 0.4316
Ba 6.5259 -4.1205 -1.4264
Cd 3.2473 -3.7419 -0.3793
Cd 6.5792 -7.4863 -0.6155

# 2
! TaAlPt2 PBE-GGA optimized geometry; values from VASP
! * crystal system: tetragonal
! * total energy: -7.723 eV per atom
! * spin magnetization: 0.00 μB/cell
&SYSTEM
  ibrav = 0, nat = 4, ntyp = 3
/
ATOMIC_SPECIES
Al 26.98 Al.upf
Pt 195.08 Pt.upf
Ta 180.95 Ta.upf
CELL_PARAMETERS angstrom
2.8981 0.0000 0.0000
0.0000 2.8981 0.0000
0.0000 0.0000 7.4071
ATOMIC_POSITIONS angstrom
Al 1.4491 1.4491 5.5553
Pt 0.0000 0.0000 7.2563
Pt 0.0000 0.0000 3.8543
Ta 1.4491 1.4491 1.8518

# 3
! Tb6Dy2TmSc3 PBE-GGA optimized geometry; values from VASP
! * crystal system: monoclinic
! * total energy: -4.995 eV per atom
! * spin magnetization: 0.00 μB/cell
&SYSTEM
  ibrav = 0, nat = 12, ntyp = 4
/
ATOMIC_SPECIES
Tb 158.93 Tb.upf
Dy 162.50 Dy.upf
Tm 168.93 Tm.upf
Sc 44.96 Sc.upf
CELL_PARAMETERS angstrom
-2.2918 5.4756 1.1340
1.1366 -3.7997 4.5597
10.7976 3.6183 -1.0094
ATOMIC_POSITIONS angstrom
Tb 6.5739 5.4808 2.9351
Tb 1.9203 2.1973 4.0275
Tb 3.0685 -0.1866 1.7492
Tb 7.7161 2.3909 4.0764
Tb 7.7221 3.0969 0.6568
Tb 1.9263 2.9034 0.6079
Dy -0.0062 -0.7079 3.4178
Dy -1.1490 2.3838 2.2759
Tm 0.0000 0.0000 0.0000
Sc 5.9640 -0.4447 3.4841
Sc 3.6784 5.7389 1.2002
Sc 4.8212 2.6471 2.3422

# 4
! Pa2Al2Cu15 PBE-GGA optimized geometry; values from VASP
! * crystal system: trigonal
! * total energy: -4.683 eV per atom
! * spin magnetization: 0.22 μB/cell
&SYSTEM
  ibrav = 0, nat = 19, ntyp = 3
/
ATOMIC_SPECIES
Pa 231.04 Pa.upf
Al 26.98 Al.upf
Cu 63.55 Cu.upf
CELL_PARAMETERS angstrom
-3.9132 5.1371 -0.8136
-4.3461 -2.7613 -3.9814
-4.4939 -1.5385 4.4501
ATOMIC_POSITIONS angstrom
Pa -4.4749 0.2938 -0.1210
Pa -8.2783 0.5435 -0.2239
Al -1.3196 0.0866 -0.0357
Al -11.4336 0.7507 -0.3092
Cu -1.9566 2.5686 -0.4068
Cu -2.2469 -0.7692 2.2250
Cu -2.1731 -1.3806 -1.9907
Cu -4.3903 -2.3956 -1.4597
Cu -4.0427 2.7749 -1.7610
Cu -4.3202 0.4580 2.8759
Cu -4.2166 -0.3991 -3.0340
Cu -4.0869 3.1406 0.7607
Cu -4.4497 -1.9042 1.9284
Cu -6.3468 -2.0058 0.1797
Cu -6.0586 1.3080 -2.4332
Cu -6.1319 1.9150 1.7522
Cu -6.4063 2.8432 -0.5246
Cu -6.6946 -0.4706 2.0883
Cu -6.6212 -1.0776 -2.0971

# 5
! SrMgIr PBE-GGA optimized geometry; values from VASP
! * crystal system: orthorhombic
! * total energy: -4.173 eV per atom
! * spin magnetization: 0.42 μB/cell
&SYSTEM
  ibrav = 0, nat = 6, ntyp = 3
/
ATOMIC_SPECIES
Sr 87.62 Sr.upf
Mg 24.30 Mg.upf
Ir 192.22 Ir.upf
CELL_PARAMETERS angstrom
3.9666 0.0000 -1.1023
-0.7838 5.3731 -2.8204
-0.1553 0.2355 7.1290
ATOMIC_POSITIONS angstrom
Sr 2.1890 3.9025 0.1890
Sr 0.8385 1.7061 3.0172
Mg -0.6065 4.1574 -2.1823
Mg -0.1773 1.2156 -0.6381
Ir 2.2850 0.6138 0.5344
Ir 0.7425 4.9947 2.6719

# 6
! BaTlPt4 PBE-GGA optimized geometry; values from VASP
! * crystal system: cubic
! * total energy: -5.224 eV per atom
! * spin magnetization: 0.00 μB/cell
&SYSTEM
  ibrav = 0, nat = 6, ntyp = 3
/
ATOMIC_SPECIES
Ba 137.33 Ba.upf
Pt 195.08 Pt.upf
Tl 204.38 Tl.upf
CELL_PARAMETERS angstrom
5.5910 0.0000 0.0000
2.7955 4.8419 0.0000
2.7955 1.6140 4.5650
ATOMIC_POSITIONS angstrom
Ba 0.0000 0.0000 0.0000
Pt 4.2023 4.0297 2.8494
Pt 6.9797 4.0297 2.8494
Pt 5.5910 1.6244 2.8494
Pt 5.5910 3.2279 0.5817
Tl 2.7955 1.6140 1.1413

Copy entry 1 word for word.
! Ba2TiCd2 PBE-GGA optimized geometry; values from VASP
! * E above lowest polymorph: 3.22 kcal/mol of atoms
! * crystal system: tetragonal
! * spin magnetization: 2.45 μB/cell
&SYSTEM
  ibrav = 0, nat = 5, ntyp = 3
/
ATOMIC_SPECIES
Ti 47.87 Ti.upf
Ba 137.33 Ba.upf
Cd 112.41 Cd.upf
CELL_PARAMETERS angstrom
-0.6825 -6.7087 0.2888
5.7681 -0.7343 -3.4272
4.7409 -3.7853 2.1438
ATOMIC_POSITIONS angstrom
Ti 0.0000 0.0000 0.0000
Ba 3.3006 -7.1077 0.4316
Ba 6.5259 -4.1205 -1.4264
Cd 3.2473 -3.7419 -0.3793
Cd 6.5792 -7.4863 -0.6155